--- P ---
Below is a relaxed structure of MnNi2H, with properties calculated at the PBE-GGA level.

Results
- D(E_F) (states/eV/cell) = 0.623
- SG = Fm-3m, No. 225

Structure (CIF):
```
data_MnNi2H
_cell_length_a 3.8635
_cell_length_b 3.8635
_cell_length_c 3.8635
_cell_angle_alpha 60.00
_cell_angle_beta 60.00
_cell_angle_gamma 60.00
_symmetry_space_group_name_H-M 'P 1'
_symmetry_Int_Tables_number 1
loop_
_symmetry_equiv_pos_as_xyz
'x,y,z'
loop_
_atom_site_label
_atom_site_fract_x
_atom_site_fract_y
_atom_site_fract_z
_atom_site_occupancy
Mn1 0.0000 0.0000 0.0000 1
Ni1 0.2500 0.2500 0.2500 1
Ni2 0.7500 0.7500 0.7500 1
H1 0.5000 0.5000 0.5000 1
```



--- Q ---
Below is a relaxed structure of MnNi2H, with properties calculated at the PBE-GGA level.

Results
- D(E_F) (states/eV/cell) = 2.714
- SG = P6/mmm, No. 191

Structure (CIF):
```
data_MnNi2H
_cell_length_a 3.8826
_cell_length_b 3.8826
_cell_length_c 3.2024
_cell_angle_alpha 90.00
_cell_angle_beta 90.00
_cell_angle_gamma 120.00
_symmetry_space_group_name_H-M 'P 1'
_symmetry_Int_Tables_number 1
loop_
_symmetry_equiv_pos_as_xyz
'x,y,z'
loop_
_atom_site_label
_atom_site_fract_x
_atom_site_fract_y
_atom_site_fract_z
_atom_site_occupancy
Mn1 0.0000 0.0000 0.0000 1
Ni1 0.3333 0.6667 0.5000 1
Ni2 0.6667 0.3333 0.5000 1
H1 0.0000 0.0000 0.5000 1
```



Most stable pick: Q. Distance to second place: 118 meV per atom.



--- P ---
Below is a relaxed structure of Mn2Ni2H5, with properties calculated at the PBE-GGA level.

Results
- D(E_F) (states/eV/cell) = 3.557
- SG = C2/m, No. 12

Structure (CIF):
```
data_Mn2Ni2H5
_cell_length_a 5.0792
_cell_length_b 5.0792
_cell_length_c 4.7515
_cell_angle_alpha 106.98
_cell_angle_beta 106.98
_cell_angle_gamma 32.81
_symmetry_space_group_name_H-M 'P 1'
_symmetry_Int_Tables_number 1
loop_
_symmetry_equiv_pos_as_xyz
'x,y,z'
loop_
_atom_site_label
_atom_site_fract_x
_atom_site_fract_y
_atom_site_fract_z
_atom_site_occupancy
Mn1 0.1036 0.1036 0.3308 1
Mn2 0.8964 0.8964 0.6692 1
Ni1 0.3656 0.3656 0.1599 1
Ni2 0.6344 0.6344 0.8401 1
H1 0.1797 0.1797 0.0186 1
H2 0.3149 0.3149 0.4647 1
H3 0.5000 0.5000 0.0000 1
H4 0.6851 0.6851 0.5353 1
H5 0.8203 0.8203 0.9814 1
```



--- Q ---
Below is a relaxed structure of Mn2Ni2H5, with properties calculated at the PBE-GGA level.

Results
- D(E_F) (states/eV/cell) = 7.432
- SG = Ima2, No. 46

Structure (CIF):
```
data_Mn2Ni2H5
_cell_length_a 7.2754
_cell_length_b 7.2754
_cell_length_c 7.2754
_cell_angle_alpha 50.69
_cell_angle_beta 144.15
_cell_angle_gamma 145.38
_symmetry_space_group_name_H-M 'P 1'
_symmetry_Int_Tables_number 1
loop_
_symmetry_equiv_pos_as_xyz
'x,y,z'
loop_
_atom_site_label
_atom_site_fract_x
_atom_site_fract_y
_atom_site_fract_z
_atom_site_occupancy
Mn1 0.0183 0.1339 0.1522 1
Mn2 0.0183 0.3661 0.3844 1
Mn3 0.9817 0.6339 0.6156 1
Mn4 0.9817 0.8661 0.8478 1
Ni1 0.4523 0.7532 0.1990 1
Ni2 0.5174 0.0174 0.5000 1
Ni3 0.5174 0.5174 0.0000 1
Ni4 0.5542 0.2532 0.8010 1
H1 0.0066 0.9934 0.5132 1
H2 0.0175 0.2153 0.7146 1
H3 0.0175 0.8029 0.3022 1
H4 0.4524 0.6872 0.0178 1
H5 0.4524 0.9346 0.2652 1
H6 0.4801 0.4934 0.4868 1
H7 0.5007 0.3029 0.2854 1
H8 0.5007 0.7153 0.6978 1
H9 0.6694 0.1872 0.7348 1
H10 0.6694 0.4346 0.9822 1
```



Most stable pick: P. Distance to second place: 14 meV per atom.



--- P ---
Below is a relaxed structure of MnNi3H3, with properties calculated at the PBE-GGA level.

Results
- D(E_F) (states/eV/cell) = 11.669
- SG = R-3, No. 148

Structure (CIF):
```
data_MnNi3H3
_cell_length_a 6.8261
_cell_length_b 6.8261
_cell_length_c 6.8261
_cell_angle_alpha 37.75
_cell_angle_beta 37.75
_cell_angle_gamma 37.75
_symmetry_space_group_name_H-M 'P 1'
_symmetry_Int_Tables_number 1
loop_
_symmetry_equiv_pos_as_xyz
'x,y,z'
loop_
_atom_site_label
_atom_site_fract_x
_atom_site_fract_y
_atom_site_fract_z
_atom_site_occupancy
Mn1 0.1669 0.1669 0.1669 1
Mn2 0.8331 0.8331 0.8331 1
Ni1 0.0553 0.7203 0.3871 1
Ni2 0.2797 0.6129 0.9447 1
Ni3 0.3871 0.0553 0.7203 1
Ni4 0.6129 0.9447 0.2797 1
Ni5 0.7203 0.3871 0.0553 1
Ni6 0.9447 0.2797 0.6129 1
H1 0.1093 0.4412 0.7737 1
H2 0.2263 0.8907 0.5588 1
H3 0.4412 0.7737 0.1093 1
H4 0.5588 0.2263 0.8907 1
H5 0.7737 0.1093 0.4412 1
H6 0.8907 0.5588 0.2263 1
```



--- Q ---
Below is a relaxed structure of MnNi3H3, with properties calculated at the PBE-GGA level.

Results
- D(E_F) (states/eV/cell) = 5.476
- SG = Pm-3m, No. 221

Structure (CIF):
```
data_MnNi3H3
_cell_length_a 3.7257
_cell_length_b 3.7257
_cell_length_c 3.7257
_cell_angle_alpha 90.00
_cell_angle_beta 90.00
_cell_angle_gamma 90.00
_symmetry_space_group_name_H-M 'P 1'
_symmetry_Int_Tables_number 1
loop_
_symmetry_equiv_pos_as_xyz
'x,y,z'
loop_
_atom_site_label
_atom_site_fract_x
_atom_site_fract_y
_atom_site_fract_z
_atom_site_occupancy
Mn1 0.0000 0.0000 0.0000 1
Ni1 0.0000 0.5000 0.5000 1
Ni2 0.5000 0.0000 0.5000 1
Ni3 0.5000 0.5000 0.0000 1
H1 0.0000 0.0000 0.5000 1
H2 0.0000 0.5000 0.0000 1
H3 0.5000 0.0000 0.0000 1
```



Most stable pick: Q. Distance to second place: 68 meV per atom.



--- P ---
Below is a relaxed structure of MnNi2H4, with properties calculated at the PBE-GGA level.

Results
- D(E_F) (states/eV/cell) = 1.921
- SG = Cmmm, No. 65

Structure (CIF):
```
data_MnNi2H4
_cell_length_a 4.3979
_cell_length_b 4.3979
_cell_length_c 2.6922
_cell_angle_alpha 90.00
_cell_angle_beta 90.00
_cell_angle_gamma 119.62
_symmetry_space_group_name_H-M 'P 1'
_symmetry_Int_Tables_number 1
loop_
_symmetry_equiv_pos_as_xyz
'x,y,z'
loop_
_atom_site_label
_atom_site_fract_x
_atom_site_fract_y
_atom_site_fract_z
_atom_site_occupancy
Mn1 0.0000 0.0000 0.0000 1
Ni1 0.3262 0.6738 0.5000 1
Ni2 0.6738 0.3262 0.5000 1
H1 0.0000 0.5000 0.0000 1
H2 0.2667 0.2667 0.5000 1
H3 0.5000 0.0000 0.0000 1
H4 0.7333 0.7333 0.5000 1
```



--- Q ---
Below is a relaxed structure of MnNi2H4, with properties calculated at the PBE-GGA level.

Results
- D(E_F) (states/eV/cell) = 5.874
- SG = I4_1/amd, No. 141

Structure (CIF):
```
data_MnNi2H4
_cell_length_a 5.1417
_cell_length_b 5.1417
_cell_length_c 5.1417
_cell_angle_alpha 117.47
_cell_angle_beta 117.47
_cell_angle_gamma 94.43
_symmetry_space_group_name_H-M 'P 1'
_symmetry_Int_Tables_number 1
loop_
_symmetry_equiv_pos_as_xyz
'x,y,z'
loop_
_atom_site_label
_atom_site_fract_x
_atom_site_fract_y
_atom_site_fract_z
_atom_site_occupancy
Mn1 0.3750 0.6250 0.7500 1
Mn2 0.6250 0.3750 0.2500 1
Ni1 0.0000 0.0000 0.0000 1
Ni2 0.0000 0.0000 0.5000 1
Ni3 0.0000 0.5000 0.0000 1
Ni4 0.5000 0.0000 0.5000 1
H1 0.1952 0.2432 0.9519 1
H2 0.2087 0.7568 0.4519 1
H3 0.2432 0.1952 0.4519 1
H4 0.2432 0.7913 0.0481 1
H5 0.7568 0.2087 0.9519 1
H6 0.7568 0.8048 0.5481 1
H7 0.7913 0.2432 0.5481 1
H8 0.8048 0.7568 0.0481 1
```



Most stable pick: P. Distance to second place: 45 meV per atom.



--- P ---
Below is a relaxed structure of MnNi2H3, with properties calculated at the PBE-GGA level.

Results
- D(E_F) (states/eV/cell) = 12.782
- SG = Pnma, No. 62

Structure (CIF):
```
data_MnNi2H3
_cell_length_a 5.3950
_cell_length_b 3.7356
_cell_length_c 8.0457
_cell_angle_alpha 90.00
_cell_angle_beta 90.00
_cell_angle_gamma 90.00
_symmetry_space_group_name_H-M 'P 1'
_symmetry_Int_Tables_number 1
loop_
_symmetry_equiv_pos_as_xyz
'x,y,z'
loop_
_atom_site_label
_atom_site_fract_x
_atom_site_fract_y
_atom_site_fract_z
_atom_site_occupancy
Mn1 0.1286 0.2500 0.0820 1
Mn2 0.3714 0.7500 0.5820 1
Mn3 0.6286 0.2500 0.4180 1
Mn4 0.8714 0.7500 0.9180 1
Ni1 0.1212 0.2500 0.4147 1
Ni2 0.1316 0.2500 0.7504 1
Ni3 0.3684 0.7500 0.2504 1
Ni4 0.3788 0.7500 0.9147 1
Ni5 0.6212 0.2500 0.0853 1
Ni6 0.6316 0.2500 0.7496 1
Ni7 0.8684 0.7500 0.2496 1
Ni8 0.8788 0.7500 0.5853 1
H1 0.1098 0.7500 0.4114 1
H2 0.1136 0.7500 0.0824 1
H3 0.1215 0.7500 0.7500 1
H4 0.3785 0.2500 0.2500 1
H5 0.3864 0.2500 0.5824 1
H6 0.3902 0.2500 0.9114 1
H7 0.6098 0.7500 0.0886 1
H8 0.6136 0.7500 0.4176 1
H9 0.6215 0.7500 0.7500 1
H10 0.8785 0.2500 0.2500 1
H11 0.8864 0.2500 0.9176 1
H12 0.8902 0.2500 0.5886 1
```



--- Q ---
Below is a relaxed structure of MnNi2H3, with properties calculated at the PBE-GGA level.

Results
- D(E_F) (states/eV/cell) = 3.149
- SG = P6_3/mcm, No. 193

Structure (CIF):
```
data_MnNi2H3
_cell_length_a 4.3425
_cell_length_b 4.3425
_cell_length_c 5.1234
_cell_angle_alpha 90.00
_cell_angle_beta 90.00
_cell_angle_gamma 120.00
_symmetry_space_group_name_H-M 'P 1'
_symmetry_Int_Tables_number 1
loop_
_symmetry_equiv_pos_as_xyz
'x,y,z'
loop_
_atom_site_label
_atom_site_fract_x
_atom_site_fract_y
_atom_site_fract_z
_atom_site_occupancy
Mn1 0.0000 0.0000 0.2500 1
Mn2 0.0000 0.0000 0.7500 1
Ni1 0.3333 0.6667 0.0000 1
Ni2 0.3333 0.6667 0.5000 1
Ni3 0.6667 0.3333 0.0000 1
Ni4 0.6667 0.3333 0.5000 1
H1 0.0000 0.4607 0.2500 1
H2 0.0000 0.5393 0.7500 1
H3 0.4607 0.0000 0.2500 1
H4 0.4607 0.4607 0.7500 1
H5 0.5393 0.0000 0.7500 1
H6 0.5393 0.5393 0.2500 1
```



Most stable pick: P. Distance to second place: 28 meV per atom.



--- P ---
Below is a relaxed structure of MnNi6H8, with properties calculated at the PBE-GGA level.

Results
- D(E_F) (states/eV/cell) = 6.179
- SG = R-3, No. 148

Structure (CIF):
```
data_MnNi6H8
_cell_length_a 4.7091
_cell_length_b 4.7091
_cell_length_c 4.7091
_cell_angle_alpha 100.16
_cell_angle_beta 100.16
_cell_angle_gamma 100.16
_symmetry_space_group_name_H-M 'P 1'
_symmetry_Int_Tables_number 1
loop_
_symmetry_equiv_pos_as_xyz
'x,y,z'
loop_
_atom_site_label
_atom_site_fract_x
_atom_site_fract_y
_atom_site_fract_z
_atom_site_occupancy
Mn1 0.0000 0.0000 0.0000 1
Ni1 0.1323 0.5803 0.2858 1
Ni2 0.2858 0.1323 0.5803 1
Ni3 0.4197 0.7142 0.8677 1
Ni4 0.5803 0.2858 0.1324 1
Ni5 0.7142 0.8677 0.4197 1
Ni6 0.8676 0.4197 0.7142 1
H1 0.1376 0.7857 0.6288 1
H2 0.2143 0.3712 0.8624 1
H3 0.3036 0.3036 0.3036 1
H4 0.3712 0.8624 0.2143 1
H5 0.6288 0.1376 0.7857 1
H6 0.6964 0.6964 0.6964 1
H7 0.7857 0.6288 0.1376 1
H8 0.8624 0.2143 0.3712 1
```



--- Q ---
Below is a relaxed structure of MnNi6H8, with properties calculated at the PBE-GGA level.

Results
- D(E_F) (states/eV/cell) = 8.685
- SG = Fm-3m, No. 225

Structure (CIF):
```
data_MnNi6H8
_cell_length_a 5.5001
_cell_length_b 5.5001
_cell_length_c 5.5001
_cell_angle_alpha 60.00
_cell_angle_beta 60.00
_cell_angle_gamma 60.00
_symmetry_space_group_name_H-M 'P 1'
_symmetry_Int_Tables_number 1
loop_
_symmetry_equiv_pos_as_xyz
'x,y,z'
loop_
_atom_site_label
_atom_site_fract_x
_atom_site_fract_y
_atom_site_fract_z
_atom_site_occupancy
Mn1 0.0000 0.0000 0.0000 1
Ni1 0.0000 0.0000 0.5000 1
Ni2 0.0000 0.5000 0.0000 1
Ni3 0.0000 0.5000 0.5000 1
Ni4 0.5000 0.0000 0.0000 1
Ni5 0.5000 0.0000 0.5000 1
Ni6 0.5000 0.5000 0.0000 1
H1 0.1380 0.1380 0.1380 1
H2 0.1380 0.1380 0.5859 1
H3 0.1380 0.5859 0.1380 1
H4 0.4141 0.8620 0.8620 1
H5 0.5859 0.1380 0.1380 1
H6 0.8620 0.4141 0.8620 1
H7 0.8620 0.8620 0.4141 1
H8 0.8620 0.8620 0.8620 1
```



Most stable pick: P. Distance to second place: 115 meV per atom.